# 1
# RbIn3 | the Alexandria database | PBE | relaxed
data_RbIn3
_symmetry_space_group_name_H-M 'P m -3 m'
_symmetry_Int_Tables_number 221
_symmetry_space_group_name_Hall '-P 4 2 3'
_cell_length_a 5.0890
_cell_length_b 5.0890
_cell_length_c 5.0890
_cell_angle_alpha 90.00
_cell_angle_beta 90.00
_cell_angle_gamma 90.00
loop_
_atom_site_label
_atom_site_fract_x
_atom_site_fract_y
_atom_site_fract_z
_atom_site_occupancy
Rb1 0.0000 0.0000 0.0000 1
In1 0.0000 0.5000 0.5000 1
# ΔE_f (meV/atom): 118

# 2
# RbIn4 | the Alexandria database | PBE | relaxed
data_RbIn4
_symmetry_space_group_name_H-M 'P m -3 m'
_symmetry_Int_Tables_number 221
_symmetry_space_group_name_Hall '-P 4 2 3'
_cell_length_a 6.3084
_cell_length_b 6.3084
_cell_length_c 6.3084
_cell_angle_alpha 90.00
_cell_angle_beta 90.00
_cell_angle_gamma 90.00
loop_
_atom_site_label
_atom_site_fract_x
_atom_site_fract_y
_atom_site_fract_z
_atom_site_occupancy
Rb1 0.0000 0.0000 0.0000 1
In1 0.0000 0.0000 0.5000 1
In2 0.5000 0.5000 0.5000 1
# ΔE_f (meV/atom): 928

# 3
# RbIn | the Alexandria database | PBE | relaxed
data_RbIn
_symmetry_space_group_name_H-M 'P 63/m m c'
_symmetry_Int_Tables_number 194
_symmetry_space_group_name_Hall '-P 6c 2c'
_cell_length_a 10.3950
_cell_length_b 10.3950
_cell_length_c 5.9016
_cell_angle_alpha 90.00
_cell_angle_beta 90.00
_cell_angle_gamma 120.00
loop_
_atom_site_label
_atom_site_fract_x
_atom_site_fract_y
_atom_site_fract_z
_atom_site_occupancy
Rb1 0.1779 0.3559 0.2500 1
In1 0.1324 0.5662 0.7500 1
# ΔE_f (meV/atom): -6
# Excess energy over the best structure of this formula in the dataset (meV/atom): 85

# 4
# RbIn4 | the Alexandria database | PBE | relaxed
data_RbIn4
_symmetry_space_group_name_H-M 'C 1 2/m 1'
_symmetry_Int_Tables_number 12
_symmetry_space_group_name_Hall '-C 2y'
_cell_length_a 7.1582
_cell_length_b 7.1462
_cell_length_c 7.2614
_cell_angle_alpha 90.00
_cell_angle_beta 118.94
_cell_angle_gamma 90.00
loop_
_atom_site_label
_atom_site_fract_x
_atom_site_fract_y
_atom_site_fract_z
_atom_site_occupancy
Rb1 0.0000 0.0000 0.0000 1
In1 0.0000 0.2468 0.5000 1
In2 0.1141 0.5000 0.2310 1
# ΔE_f (meV/atom): -120